Record 1
First-principles (PBE) data for GdZrSc2 after structural relaxation, as listed in the Alexandria database.

Calculated values
ΔH_f (0 K) ... 0.0641 eV/atom
VASP energy ... -8.759 eV per atom
Distance to the lowest polymorph of the same formula ... 23 meV/atom

Lattice parameters (Å, degrees): 4.6235 4.6849 4.6849 90.00 90.00 90.00
Last column: nearest neighbours and their distance in Å.
Atoms (fractional coordinates):
Gd1 0.5000 0.5000 0.5000  8 Sc 3.29, 4 Zr 3.31
Zr1 0.5000 0.0000 0.0000  8 Sc 3.29, 4 Gd 3.31
Sc1 0.0000 0.0000 0.5000  4 Gd 3.29, 4 Zr 3.29, 4 Sc 3.31
Sc2 0.0000 0.5000 0.0000  4 Gd 3.29, 4 Zr 3.29, 4 Sc 3.31

=====

Record 2
First-principles (PBE) data for SrTiAl3 after structural relaxation, as listed in the Alexandria database.

Calculated values
ΔH_f (0 K) ... 0.1713 eV/atom
VASP energy ... -3.990 eV per atom
Distance to the lowest polymorph of the same formula ... 0 meV/atom

Lattice parameters (Å, degrees): 5.0548 5.0548 5.0548 90.00 90.00 90.00
Last column: nearest neighbours and their distance in Å.
Atoms (fractional coordinates):
Ti1 0.0000 0.0000 0.0000  6 Al 2.53
Al1 0.0000 0.5000 0.0000  2 Ti 2.53
Al2 0.0000 0.0000 0.5000  2 Ti 2.53
Al3 0.5000 0.0000 0.0000  2 Ti 2.53
Sr1 0.5000 0.5000 0.5000  12 Al 3.57